A relaxed structure of TcHgSb2I. Source: Alexandria, functional PBEsol.

a b c (Å): 5.023 5.023 5.774
angles (deg): 90.00 90.00 90.00
Space group P4/mmm (No. 123)
Unique sites:
Tc (0.000, 0.000, 0.000) [1 per cell]
Hg (0.500, 0.500, 0.500) [1 per cell]
Sb (0.000, 0.500, 0.000) [2 per cell]
I (0.000, 0.000, 0.500) [1 per cell]

Results
DFT total energy ... -4.125 eV/atom
Raw formation energy ... 0.42 eV/atom